Computed, not measured: crystalline NiO at its relaxed geometry at the GGA+U level of DFT.

final energy = -3.65 eV per atom
Fermi-level density of states = 0.75 states/eV per cell

Geometry as CIF:
```
data_NiO
_chemical_formula_sum 'Ni1 O1'
_cell_length_a 2.9781
_cell_length_b 2.9781
_cell_length_c 3.4396
_cell_angle_alpha 90.00
_cell_angle_beta 90.00
_cell_angle_gamma 120.00
_space_group_name_H-M_alt 'P 6/m m m'
_space_group_IT_number 191
_space_group_name_Hall '-P 6 2'
loop_
_atom_site_label
_atom_site_type_symbol
_atom_site_fract_x
_atom_site_fract_y
_atom_site_fract_z
Ni1 Ni 0.0000 0.0000 0.0000
O1 O 0.0000 0.0000 0.5000
```